Entry from Alexandria: an optimized crystal structure of TaZn2P (PBE).

a b c (Å): 5.0090 8.5506 2.9581
angles (deg): 90.00 90.00 90.00
Fractional positions:
Ta (0.0000, 0.0000, 0.0000)
Ta (0.5000, 0.5000, 0.0000)
Zn (0.2500, 0.2500, 0.5000)
Zn (0.2500, 0.7500, 0.5000)
Zn (0.7500, 0.2500, 0.5000)
Zn (0.7500, 0.7500, 0.5000)
P (0.0000, 0.5000, 0.0000)
P (0.5000, 0.0000, 0.0000)

Computed properties:
Calculated volume (Å³ per atom): 15.8
Final energy (eV/atom): -4.902
Total moment (μB/cell): 0.00